No. 1
{
  "formula": "ScGaH",
  "functional": "GGA-PBE",
  "state": "optimized geometry",
  "dft_energy_ev_per_cell": -26.1,
  "sg": "Cmcm, No. 63",
  "lattice": [[3.0465, 0.0000, 0.0000], [0.0000, 3.8487, 0.0000], [-1.5232, 0.0000, 7.3106]],
  "species": ["Sc", "Sc", "H", "H", "Ga", "Ga"],
  "frac_coords": [[0.4174, 0.2500, 0.8347], [0.5826, 0.7500, 0.1653], [0.9634, 0.7500, 0.9268], [0.0366, 0.2500, 0.0732], [0.7217, 0.2500, 0.4434], [0.2783, 0.7500, 0.5566]]
}

No. 2
{
  "formula": "Sc3GaH2",
  "functional": "GGA-PBE",
  "state": "optimized geometry",
  "dft_energy_ev_per_cell": -64.2,
  "sg": "Cmcm, No. 63",
  "lattice": [[-1.4179, 2.6386, 3.6316], [-5.9356, -0.2538, -2.1331], [0.5630, -4.9798, 3.8380]],
  "species": ["Sc", "Sc", "Sc", "Sc", "Sc", "Sc", "Ga", "Ga", "H", "H", "H", "H"],
  "frac_coords": [[0.7500, 0.1151, 0.8849], [0.7500, 0.1862, 0.4115], [0.2500, 0.4115, 0.1862], [0.7500, 0.5885, 0.8138], [0.2500, 0.8138, 0.5885], [0.2500, 0.8849, 0.1151], [0.2500, 0.3166, 0.6834], [0.7500, 0.6834, 0.3166], [0.0000, 0.1488, 0.1488], [0.5000, 0.1488, 0.1488], [0.0000, 0.8512, 0.8512], [0.5000, 0.8512, 0.8512]]
}

No. 3
{
  "formula": "Sc2GaSnH",
  "functional": "GGA-PBE",
  "state": "optimized geometry",
  "dft_energy_ev_per_cell": -25.0,
  "sg": "P4/mmm, No. 123",
  "lattice": [[4.4102, 0.0000, 0.0000], [0.0000, 4.4102, 0.0000], [0.0000, 0.0000, 4.3535]],
  "species": ["Sc", "Sc", "H", "Sn", "Ga"],
  "frac_coords": [[0.0000, 0.5000, 0.0000], [0.5000, 0.0000, 0.0000], [0.0000, 0.0000, 0.0000], [0.5000, 0.5000, 0.5000], [0.0000, 0.0000, 0.5000]]
}

No. 4
{
  "formula": "Sc2TaGaH",
  "functional": "GGA-PBE",
  "state": "optimized geometry",
  "dft_energy_ev_per_cell": -32.3,
  "sg": "P4/mmm, No. 123",
  "lattice": [[-2.6454, -2.7085, 2.0777], [3.3835, -2.4290, 1.1415], [0.4385, 2.2541, 3.4968]],
  "species": ["Sc", "Sc", "H", "Ga", "Ta"],
  "frac_coords": [[0.0000, 0.5000, 0.0000], [0.5000, 0.0000, 0.0000], [0.0000, 0.0000, 0.0000], [0.5000, 0.5000, 0.5000], [0.0000, 0.0000, 0.5000]]
}

No. 5
{
  "formula": "Sc2GaTcH",
  "functional": "GGA-PBE",
  "state": "optimized geometry",
  "dft_energy_ev_per_cell": -31.7,
  "sg": "P4/mmm, No. 123",
  "lattice": [[4.5893, 0.0000, 0.0000], [0.0000, 4.5893, 0.0000], [0.0000, 0.0000, 3.5287]],
  "species": ["Sc", "Sc", "H", "Tc", "Ga"],
  "frac_coords": [[0.0000, 0.5000, 0.0000], [0.5000, 0.0000, 0.0000], [0.0000, 0.0000, 0.0000], [0.0000, 0.0000, 0.5000], [0.5000, 0.5000, 0.5000]]
}

No. 6
{
  "formula": "Sc2TlGaH",
  "functional": "GGA-PBE",
  "state": "optimized geometry",
  "dft_energy_ev_per_cell": -22.7,
  "sg": "P4/mmm, No. 123",
  "lattice": [[4.4630, 0.0000, 0.0000], [0.0000, 4.4630, 0.0000], [0.0000, 0.0000, 4.3377]],
  "species": ["Sc", "Sc", "H", "Tl", "Ga"],
  "frac_coords": [[0.0000, 0.5000, 0.0000], [0.5000, 0.0000, 0.0000], [0.0000, 0.0000, 0.0000], [0.5000, 0.5000, 0.5000], [0.0000, 0.0000, 0.5000]]
}